Record 1
Entry from Alexandria: BaAuBr3 after structural relaxation (PBE).

Lattice parameters (Å, degrees): 5.5063 5.5063 5.5063 90.00 90.00 90.00
Last column: nearest neighbours and their distance in Å.
Space group Pm-3m (No. 221)
Asymmetric unit:
Ba  0.0000  0.0000  0.0000 x1  12 Br 3.89
Au  0.5000  0.5000  0.5000 x1  6 Br 2.75
Br  0.0000  0.5000  0.5000 x3  2 Au 2.75

Computed properties:
crystal system	cubic
energy	-3.092	eV per atom
ΔE to the lowest computed polymorph	286.8	meV per atom
uncorrected formation energy	-1048	meV/atom

***

Record 2
Entry from Alexandria: TeHF after structural relaxation (PBE).

Lattice parameters (Å, degrees): 2.9778 7.4566 2.9854 90.00 95.96 90.00
Last column: nearest neighbours and their distance in Å.
Space group Pm (No. 6)
Asymmetric unit:
Te  0.0000  0.0000  0.0000 x1  4 Te 2.98-2.99
H  0.7726  0.5000  0.2771 x1  1 F 0.95
F  0.5490  0.5000  0.4807 x1  1 H 0.95

Computed properties:
crystal system	monoclinic
energy	-3.730	eV per atom
ΔE to the lowest computed polymorph	82.1	meV per atom

***

Record 3
Entry from Alexandria: SiTe2Rh after structural relaxation (PBE).

Lattice parameters (Å, degrees): 3.3916 3.3916 7.6920 90.00 90.00 90.00
Last column: nearest neighbours and their distance in Å.
Space group P4mm (No. 99)
Asymmetric unit:
Si  0.0000  0.0000  0.0000 x1  4 Rh 2.57, 1 Te 2.77
Te  0.0000  0.0000  0.6398 x1  1 Si 2.77, 4 Rh 3.03
Te  0.5000  0.5000  0.2268 x1  1 Rh 2.66, 4 Si 2.97
Rh  0.5000  0.5000  0.8808 x1  4 Si 2.57, 1 Te 2.66

Computed properties:
crystal system	tetragonal
energy	-4.762	eV per atom
uncorrected formation energy	2	meV/atom